Record 1
Sc3SnRu: relaxed, PBE.

abc: 4.958 4.958 4.958
angles: 90.00 90.00 90.00
Fractional positions:
Sc  0.000  0.500  0.000
Sc  0.000  0.000  0.500
Sc  0.500  0.000  0.000
Ru  0.000  0.000  0.000
Sn  0.500  0.500  0.500

Output
Space group: Pm-3m
Calculated formation energy, eV per atom: -0.26
Distance to the lowest polymorph of the same formula, meV per atom: 0
Calculated total energy, eV per atom: -6.71

Record 2
Sc4SnRu5: relaxed, PBE.

abc: 3.228 3.228 15.930
angles: 90.00 90.00 90.00
Fractional positions:
Sc  0.000  0.000  0.200
Sc  0.000  0.000  0.400
Sc  0.000  0.000  0.600
Sc  0.000  0.000  0.800
Sn  0.000  0.000  0.000
Ru  0.500  0.500  0.098
Ru  0.500  0.500  0.299
Ru  0.500  0.500  0.500
Ru  0.500  0.500  0.701
Ru  0.500  0.500  0.902

Output
Space group: P4/mmm
Calculated formation energy, eV per atom: -0.49
Calculated total energy, eV per atom: -8.06

Record 3
ScSn3Ru: relaxed, PBE.

abc: 5.101 5.101 5.101
angles: 90.00 90.00 90.00
Fractional positions:
Sc  0.500  0.500  0.500
Ru  0.000  0.000  0.000
Sn  0.000  0.500  0.000
Sn  0.000  0.000  0.500
Sn  0.500  0.000  0.000

Output
Space group: Pm-3m
Calculated formation energy, eV per atom: 0.22
Distance to the lowest polymorph of the same formula, meV per atom: 0
Calculated total energy, eV per atom: -5.31

Record 4
ScSn2Ru2: relaxed, PBE.

abc: 7.750 7.750 3.074
angles: 90.00 90.00 90.00
Fractional positions:
Sc  0.000  0.000  0.000
Sc  0.500  0.500  0.000
Ru  0.155  0.655  0.500
Ru  0.655  0.845  0.500
Ru  0.845  0.345  0.500
Ru  0.345  0.155  0.500
Sn  0.358  0.858  0.000
Sn  0.858  0.642  0.000
Sn  0.642  0.142  0.000
Sn  0.142  0.358  0.000

Output
Space group: P4/mbm
Calculated formation energy, eV per atom: -0.21
Distance to the lowest polymorph of the same formula, meV per atom: 166
Calculated total energy, eV per atom: -6.78

Record 5
ScSn2Ru2: relaxed, PBE.

abc: 7.587 7.587 3.197
angles: 90.00 90.00 90.00
Fractional positions:
Sc  0.000  0.000  0.000
Sc  0.500  0.500  0.000
Ru  0.361  0.861  0.000
Ru  0.861  0.639  0.000
Ru  0.639  0.139  0.000
Ru  0.139  0.361  0.000
Sn  0.158  0.658  0.500
Sn  0.658  0.842  0.500
Sn  0.842  0.342  0.500
Sn  0.342  0.158  0.500

Output
Space group: P4/mbm
Calculated formation energy, eV per atom: -0.28
Distance to the lowest polymorph of the same formula, meV per atom: 96
Calculated total energy, eV per atom: -6.85

Record 6
ScSnRu: relaxed, PBE.

abc: 4.332 7.245 4.332
angles: 72.58 90.02 72.63
Fractional positions:
Sc  0.586  0.727  0.274
Sc  0.326  0.247  0.013
Ru  0.956  0.987  0.143
Ru  0.456  0.987  0.643
Sn  0.088  0.725  0.775
Sn  0.825  0.250  0.512

Output
Space group: I4/mmm
Calculated formation energy, eV per atom: -0.60
Calculated total energy, eV per atom: -7.14

Question: Which of these has the highest calculated total energy?
Answer: ScSn3Ru

Question: What is the calculated formation energy in the second record?
Answer: -0.49 eV per atom

Question: Which formula does entry 4 have?
Answer: ScSn2Ru2